Below is crystalline NbCu4Pd7 at its relaxed geometry, with properties calculated at the GGA-PBE level.

Results
Crystal system: monoclinic
E_tot: -5.16 eV per atom

Lattice parameters (Å, degrees): 12.036 4.736 7.467 90.00 119.09 90.00
Space group C2/m (No. 12)
Unique sites:
1 Nb 0.000 0.000 0.000
2 Cu 0.035 0.500 0.689
3 Cu 0.185 0.500 0.352
4 Pd 0.000 0.500 0.000
5 Pd 0.077 0.000 0.415
6 Pd 0.182 0.000 0.866
7 Pd 0.247 0.000 0.270